No. 1
The following is a PBE calculation of AgBOs2Rh after structural relaxation, from the Alexandria database.

```
AgBOs2Rh
1.0
4.827 0.000 0.000
0.000 4.827 0.000
0.000 0.000 4.822
Ag B Os Rh
1 1 2 1
Direct
0.000 0.000 0.000
0.500 0.500 0.500
0.000 0.500 0.000
0.500 0.000 0.000
0.000 0.000 0.500
```

Output
Total DFT energy (no corrections) ... -21.71 eV for the cell shown
M_tot ... 4.819 μB/f.u.
E_form ... 1701 kJ/mol of formula units
N(E_F) ... 7.7 states/eV/f.u.

=====

No. 2
The following is a PBE calculation of YAg2BOs after structural relaxation, from the Alexandria database.

```
YAg2BOs
1.0
5.080 0.000 0.000
0.000 5.080 0.000
0.000 0.000 4.014
Y Ag B Os
1 2 1 1
Direct
0.000 0.000 0.000
0.000 0.500 0.500
0.500 0.000 0.500
0.500 0.500 0.000
0.500 0.500 0.500
```

Output
Total DFT energy (no corrections) ... -27.22 eV for the cell shown
M_tot ... 0.000 μB/f.u.
E_form ... 275 kJ/mol of formula units
N(E_F) ... 2.3 states/eV/f.u.

=====

No. 3
The following is a PBE calculation of Y2AgBOs after structural relaxation, from the Alexandria database.

```
Y2AgBOs
1.0
5.109 0.000 0.000
0.000 5.109 0.000
0.000 0.000 3.957
Y Ag B Os
2 1 1 1
Direct
0.000 0.500 0.000
0.500 0.000 0.000
0.000 0.000 0.500
0.500 0.500 0.000
0.500 0.500 0.500
```

Output
Total DFT energy (no corrections) ... -34.87 eV for the cell shown
M_tot ... 0.000 μB/f.u.
E_form ... -114 kJ/mol of formula units
N(E_F) ... 2.8 states/eV/f.u.

=====

No. 4
The following is a PBE calculation of AgB3P after structural relaxation, from the Alexandria database.

```
AgB3P
1.0
4.208 0.000 0.000
0.000 4.208 0.000
0.000 0.000 4.208
Ag B P
1 3 1
Direct
0.000 0.000 0.000
0.000 0.000 0.500
0.000 0.500 0.000
0.500 0.000 0.000
0.500 0.500 0.500
```

Output
Total DFT energy (no corrections) ... -17.05 eV for the cell shown
M_tot ... 0.000 μB/f.u.
E_form ... 1085 kJ/mol of formula units
N(E_F) ... 3.1 states/eV/f.u.

=====

No. 5
The following is a PBE calculation of Ag2BP after structural relaxation, from the Alexandria database.

```
Ag2BP
1.0
-2.055 2.055 7.715
2.055 -2.055 7.715
2.055 2.055 -7.715
Ag B P
4 2 2
Direct
0.100 0.625 0.975
0.375 0.350 0.475
0.650 0.125 0.025
0.875 0.900 0.525
0.000 0.000 0.000
0.750 0.250 0.500
0.250 0.750 0.500
0.500 0.500 0.000
```

Output
Total DFT energy (no corrections) ... -28.28 eV for the cell shown
M_tot ... 0.000 μB/f.u.
E_form ... 352 kJ/mol of formula units
N(E_F) ... 1.8 states/eV/f.u.

=====

No. 6
The following is a PBE calculation of AgBP2 after structural relaxation, from the Alexandria database.

```
AgBP2
1.0
-2.682 2.682 4.462
2.682 -2.682 4.462
2.682 2.682 -4.462
Ag B P
2 2 4
Direct
0.000 0.000 0.000
0.750 0.250 0.500
0.250 0.750 0.500
0.500 0.500 0.000
0.200 0.625 0.075
0.375 0.450 0.575
0.550 0.125 0.925
0.875 0.800 0.425
```

Output
Total DFT energy (no corrections) ... -39.29 eV for the cell shown
M_tot ... 0.000 μB/f.u.
E_form ... 68 kJ/mol of formula units
N(E_F) ... 0.6 states/eV/f.u.

=====

No. 7
The following is a PBE calculation of AgB3P after structural relaxation, from the Alexandria database.

```
AgB3P
1.0
3.930 0.000 0.000
0.000 3.930 0.000
0.000 0.000 3.930
Ag B P
1 3 1
Direct
0.000 0.000 0.000
0.000 0.500 0.500
0.500 0.000 0.500
0.500 0.500 0.000
0.500 0.500 0.500
```

Output
Total DFT energy (no corrections) ... -20.95 eV for the cell shown
M_tot ... 0.000 μB/f.u.
E_form ... 708 kJ/mol of formula units
N(E_F) ... 1.7 states/eV/f.u.

=====

No. 8
The following is a PBE calculation of AgB2P after structural relaxation, from the Alexandria database.

```
AgB2P
1.0
-2.536 2.536 4.189
2.536 -2.536 4.189
2.536 2.536 -4.189
Ag B P
2 4 2
Direct
0.000 0.000 0.000
0.750 0.250 0.500
0.179 0.625 0.054
0.375 0.429 0.554
0.571 0.125 0.946
0.875 0.821 0.446
0.250 0.750 0.500
0.500 0.500 0.000
```

Output
Total DFT energy (no corrections) ... -38.44 eV for the cell shown
M_tot ... 0.000 μB/f.u.
E_form ... 231 kJ/mol of formula units
N(E_F) ... 0.6 states/eV/f.u.